Entry 1:
TiRe2Pb2 | PBE | relaxed

abc: 3.580 3.580 17.269
angles: 90.00 90.00 90.00
Fractional coordinates of all 10 atoms:
Ti (0.000, 0.000, 0.000)
Ti (0.500, 0.500, 0.500)
Re (0.000, 0.500, 0.250)
Re (0.000, 0.500, 0.750)
Re (0.500, 0.000, 0.250)
Re (0.500, 0.000, 0.750)
Pb (0.000, 0.000, 0.393)
Pb (0.000, 0.000, 0.607)
Pb (0.500, 0.500, 0.107)
Pb (0.500, 0.500, 0.893)

Computed properties:
As for the energy relative to the elements: 415 kJ/mol of formula units. Its volume is 221.3 Å³ per cell. Its crystal system is tetragonal. The value obtained for the energy relative to the lowest polymorph listed for this composition is 0.00 eV/f.u. For the calculated total energy, the calculation gives -35.91 eV/f.u.

Entry 2:
Ti3RePb | PBE | relaxed

abc: 4.796 4.796 4.796
angles: 90.00 90.00 90.00
Fractional coordinates of all 5 atoms:
Ti (0.000, 0.000, 0.500)
Ti (0.000, 0.500, 0.000)
Ti (0.500, 0.000, 0.000)
Re (0.000, 0.000, 0.000)
Pb (0.500, 0.500, 0.500)

Computed properties:
As for the energy relative to the elements: 232 kJ/mol of formula units. Its volume is 110.3 Å³ per cell. Its crystal system is cubic. The value obtained for the energy relative to the lowest polymorph listed for this composition is 0.00 eV/f.u. For the calculated total energy, the calculation gives -37.44 eV/f.u.